1.
# SiMo2Se | Alexandria via LeMat-Bulk | meta-GGA SCAN | single point on PBEsol structure
# Total energy, eV for the cell shown: -98.2
# Energy relative to the elements, uncorrected, eV per atom: 0.410
# Total magnetic moment, μB per atom: 0.000
# Volume, Å³ per cell: 61
# Density of states at the Fermi level, states/eV/atom: 0.715
data_SiMo2Se
_space_group_name_H-M_alt 'P m m m'
_space_group_IT_number 47
_cell_length_a 3.0976
_cell_length_b 3.9625
_cell_length_c 4.9694
_cell_angle_alpha 90.00
_cell_angle_beta 90.00
_cell_angle_gamma 90.00
loop_
_space_group_symop_operation_xyz
'x,y,z'
'-x,-y,-z'
'-x,-y,z'
'x,y,-z'
'x,-y,-z'
'-x,y,z'
'-x,y,-z'
'x,-y,z'
loop_
_atom_site_label
_atom_site_fract_x
_atom_site_fract_y
_atom_site_fract_z
Si1 0.0000 0.0000 0.0000
Mo1 0.0000 0.5000 0.5000
Mo2 0.5000 0.5000 0.0000
Se1 0.5000 0.0000 0.5000

---

2.
# Si2MoSe | Alexandria via LeMat-Bulk | meta-GGA SCAN | single point on PBEsol structure
# Total energy, eV for the cell shown: -145.9
# Energy relative to the elements, uncorrected, eV per atom: 0.510
# Total magnetic moment, μB per atom: 0.000
# Volume, Å³ per cell: 121
# Density of states at the Fermi level, states/eV/atom: 0.654
data_Si2MoSe
_space_group_name_H-M_alt 'I -4 m 2'
_space_group_IT_number 119
_space_group_name_Hall 'I -4 -2'
_cell_length_a 4.8189
_cell_length_b 4.8189
_cell_length_c 5.2181
_cell_angle_alpha 90.00
_cell_angle_beta 90.00
_cell_angle_gamma 90.00
loop_
_atom_site_label
_atom_site_fract_x
_atom_site_fract_y
_atom_site_fract_z
Si1 0.0000 0.0000 0.0000
Si2 0.0000 0.5000 0.2500
Mo1 0.0000 0.5000 0.7500
Se1 0.0000 0.0000 0.5000

---

3.
# SiMo4Se | Alexandria via LeMat-Bulk | meta-GGA SCAN | single point on PBEsol structure
# Total energy, eV for the cell shown: -662.9
# Energy relative to the elements, uncorrected, eV per atom: 0.650
# Total magnetic moment, μB per atom: 0.000
# Volume, Å³ per cell: 389
# Density of states at the Fermi level, states/eV/atom: 0.491
data_SiMo4Se
_space_group_name_H-M_alt 'F -4 3 m'
_space_group_IT_number 216
_space_group_name_Hall 'F -4 2 3'
_cell_length_a 7.2989
_cell_length_b 7.2989
_cell_length_c 7.2989
_cell_angle_alpha 90.00
_cell_angle_beta 90.00
_cell_angle_gamma 90.00
loop_
_atom_site_label
_atom_site_fract_x
_atom_site_fract_y
_atom_site_fract_z
Si1 0.0000 0.0000 0.0000
Mo1 0.1234 0.1234 0.3766
Se1 0.2500 0.2500 0.7500

---

4.
# SiMoSe | Alexandria via LeMat-Bulk | meta-GGA SCAN | single point on PBEsol structure
# Total energy, eV for the cell shown: -63.8
# Energy relative to the elements, uncorrected, eV per atom: 0.400
# Total magnetic moment, μB per atom: 0.000
# Volume, Å³ per cell: 47
# Density of states at the Fermi level, states/eV/atom: 0.582
data_SiMoSe
_space_group_name_H-M_alt 'P -6 m 2'
_space_group_IT_number 187
_space_group_name_Hall 'P -6 2'
_cell_length_a 4.3261
_cell_length_b 4.3261
_cell_length_c 2.9092
_cell_angle_alpha 90.00
_cell_angle_beta 90.00
_cell_angle_gamma 120.00
loop_
_atom_site_label
_atom_site_fract_x
_atom_site_fract_y
_atom_site_fract_z
Si1 0.0000 0.0000 0.0000
Mo1 0.6667 0.3333 0.5000
Se1 0.3333 0.6667 0.5000

---

5.
# SmMo6Se8 | Alexandria via LeMat-Bulk | meta-GGA SCAN | single point on PBEsol structure
# Total energy, eV for the cell shown: -1278.9
# Energy relative to the elements, uncorrected, eV per atom: -0.796
# Total magnetic moment, μB per atom: 0.000
# Volume, Å³ per cell: 892
# Density of states at the Fermi level, states/eV/atom: 0.443
data_SmMo6Se8
_space_group_name_H-M_alt 'R -3'
_space_group_IT_number 148
_space_group_name_Hall '-R 3'
_cell_length_a 9.3227
_cell_length_b 9.3227
_cell_length_c 11.8546
_cell_angle_alpha 90.00
_cell_angle_beta 90.00
_cell_angle_gamma 120.00
loop_
_atom_site_label
_atom_site_fract_x
_atom_site_fract_y
_atom_site_fract_z
Sm1 0.0000 0.0000 0.0000
Mo1 0.0179 0.1732 0.4055
Se1 0.0000 0.0000 0.2393
Se2 0.0077 0.6305 0.7515

---

6.
# Sn2Mo15Se19 | Alexandria via LeMat-Bulk | meta-GGA SCAN | single point on PBEsol structure
# Total energy, eV for the cell shown: -5968.7
# Energy relative to the elements, uncorrected, eV per atom: -0.505
# Total magnetic moment, μB per atom: 0.000
# Volume, Å³ per cell: 4576
# Density of states at the Fermi level, states/eV/atom: 0.563
data_Sn2Mo15Se19
_space_group_name_H-M_alt 'R -3 c'
_space_group_IT_number 167
_space_group_name_Hall '-R 3 2"c'
_cell_length_a 9.5199
_cell_length_b 9.5199
_cell_length_c 58.3035
_cell_angle_alpha 90.00
_cell_angle_beta 90.00
_cell_angle_gamma 120.00
loop_
_atom_site_label
_atom_site_fract_x
_atom_site_fract_y
_atom_site_fract_z
Sn1 0.0000 0.0000 0.1299
Mo1 0.0000 0.1625 0.2500
Mo2 0.0123 0.1664 0.7116
Mo3 0.0222 0.1703 0.9805
Se1 0.0000 0.0000 0.0540
Se2 0.0000 0.0000 0.1776
Se3 0.0000 0.3125 0.7500
Se4 0.9997 0.3786 0.6833
Se5 0.0011 0.3685 0.9519

---

7.
# Ta2SnMoSe | Alexandria via LeMat-Bulk | meta-GGA SCAN | single point on PBEsol structure
# Total energy, eV for the cell shown: -216.7
# Energy relative to the elements, uncorrected, eV per atom: 1.465
# Total magnetic moment, μB per atom: 0.407
# Volume, Å³ per cell: 110
# Density of states at the Fermi level, states/eV/atom: 0.749
data_Ta2SnMoSe
_space_group_name_H-M_alt 'P 4/m m m'
_space_group_IT_number 123
_space_group_name_Hall '-P 4 2'
_cell_length_a 4.6111
_cell_length_b 4.6111
_cell_length_c 5.1759
_cell_angle_alpha 90.00
_cell_angle_beta 90.00
_cell_angle_gamma 90.00
loop_
_atom_site_label
_atom_site_fract_x
_atom_site_fract_y
_atom_site_fract_z
Ta1 0.0000 0.5000 0.0000
Sn1 0.0000 0.0000 0.5000
Mo1 0.5000 0.5000 0.5000
Se1 0.0000 0.0000 0.0000

---

8.
# TaMoSe2 | Alexandria via LeMat-Bulk | meta-GGA SCAN | single point on PBEsol structure
# Total energy, eV for the cell shown: -139.8
# Energy relative to the elements, uncorrected, eV per atom: 0.457
# Total magnetic moment, μB per atom: 0.000
# Volume, Å³ per cell: 68
# Density of states at the Fermi level, states/eV/atom: 0.830
data_TaMoSe2
_space_group_name_H-M_alt 'P m m m'
_space_group_IT_number 47
_cell_length_a 3.1243
_cell_length_b 4.1030
_cell_length_c 5.3430
_cell_angle_alpha 90.00
_cell_angle_beta 90.00
_cell_angle_gamma 90.00
loop_
_space_group_symop_operation_xyz
'x,y,z'
'-x,-y,-z'
'-x,-y,z'
'x,y,-z'
'x,-y,-z'
'-x,y,z'
'-x,y,-z'
'x,-y,z'
loop_
_atom_site_label
_atom_site_fract_x
_atom_site_fract_y
_atom_site_fract_z
Ta1 0.0000 0.0000 0.0000
Mo1 0.5000 0.0000 0.5000
Se1 0.0000 0.5000 0.5000
Se2 0.5000 0.5000 0.0000

---

9.
# TaMoSe2 | Alexandria via LeMat-Bulk | meta-GGA SCAN | single point on PBEsol structure
# Total energy, eV for the cell shown: -141.4
# Energy relative to the elements, uncorrected, eV per atom: 0.060
# Total magnetic moment, μB per atom: 0.000
# Volume, Å³ per cell: 65
# Density of states at the Fermi level, states/eV/atom: 0.696
data_TaMoSe2
_space_group_name_H-M_alt 'P 1 2/m 1'
_space_group_IT_number 10
_cell_length_a 4.3435
_cell_length_b 3.1022
_cell_length_c 5.3084
_cell_angle_alpha 90.00
_cell_angle_beta 113.79
_cell_angle_gamma 90.00
loop_
_space_group_symop_operation_xyz
'x,y,z'
'-x,-y,-z'
'-x,y,-z'
'x,-y,z'
loop_
_atom_site_label
_atom_site_fract_x
_atom_site_fract_y
_atom_site_fract_z
Ta1 0.0000 0.0000 0.0000
Mo1 0.5000 0.5000 0.5000
Se1 0.0000 0.0000 0.5000
Se2 0.5000 0.5000 0.0000

---

10.
# TaMoSe2 | Alexandria via LeMat-Bulk | meta-GGA SCAN | single point on PBEsol structure
# Total energy, eV for the cell shown: -279.6
# Energy relative to the elements, uncorrected, eV per atom: 0.451
# Total magnetic moment, μB per atom: 0.000
# Volume, Å³ per cell: 136
# Density of states at the Fermi level, states/eV/atom: 0.721
data_TaMoSe2
_space_group_name_H-M_alt 'I m m m'
_space_group_IT_number 71
_space_group_name_Hall '-I 2 2'
_cell_length_a 3.1290
_cell_length_b 5.2893
_cell_length_c 8.2442
_cell_angle_alpha 90.00
_cell_angle_beta 90.00
_cell_angle_gamma 90.00
loop_
_atom_site_label
_atom_site_fract_x
_atom_site_fract_y
_atom_site_fract_z
Ta1 0.0000 0.0000 0.0000
Mo1 0.0000 0.0000 0.5000
Se1 0.0000 0.5000 0.2413

---

11.
# TbMo6Se8 | Alexandria via LeMat-Bulk | meta-GGA SCAN | single point on PBEsol structure
# Total energy, eV for the cell shown: -1285.3
# Energy relative to the elements, uncorrected, eV per atom: -0.782
# Total magnetic moment, μB per atom: 0.000
# Volume, Å³ per cell: 884
# Density of states at the Fermi level, states/eV/atom: 0.432
data_TbMo6Se8
_space_group_name_H-M_alt 'R -3'
_space_group_IT_number 148
_space_group_name_Hall '-R 3'
_cell_length_a 9.3061
_cell_length_b 9.3061
_cell_length_c 11.7805
_cell_angle_alpha 90.00
_cell_angle_beta 90.00
_cell_angle_gamma 120.00
loop_
_atom_site_label
_atom_site_fract_x
_atom_site_fract_y
_atom_site_fract_z
Tb1 0.0000 0.0000 0.0000
Mo1 0.0189 0.1739 0.4049
Se1 0.0000 0.0000 0.2374
Se2 0.0094 0.6296 0.7512

---

12.
# Tc2MoSe | Alexandria via LeMat-Bulk | meta-GGA SCAN | single point on PBEsol structure
# Total energy, eV for the cell shown: -248.7
# Energy relative to the elements, uncorrected, eV per atom: 0.182
# Total magnetic moment, μB per atom: 0.000
# Volume, Å³ per cell: 115
# Density of states at the Fermi level, states/eV/atom: 0.647
data_Tc2MoSe
_space_group_name_H-M_alt 'I m m 2'
_space_group_IT_number 44
_cell_length_a 2.9599
_cell_length_b 4.3933
_cell_length_c 8.8463
_cell_angle_alpha 90.00
_cell_angle_beta 90.00
_cell_angle_gamma 90.00
loop_
_space_group_symop_operation_xyz
'x,y,z'
'-x,-y,z'
'-x,y,z'
'x,-y,z'
'x+1/2,y+1/2,z+1/2'
'-x+1/2,-y+1/2,z+1/2'
'-x+1/2,y+1/2,z+1/2'
'x+1/2,-y+1/2,z+1/2'
loop_
_atom_site_label
_atom_site_fract_x
_atom_site_fract_y
_atom_site_fract_z
Tc1 0.0000 0.0000 0.0000
Tc2 0.0000 0.5000 0.2338
Mo1 0.0000 0.5000 0.7801
Se1 0.0000 0.0000 0.5093